No. 1
A geometry-optimized AlTeIrI2 structure, computed with GGA-PBE.

Calculated values
The spin magnetization comes out at 0.000 μB per cell. The density comes out at 6.1 g/cm3. For the uncorrected formation energy, the calculation gives 0.412 eV per atom. The value obtained for the density of states at the Fermi level is 3.237 states/eV/cell.

```
data_AlTeIrI2
_symmetry_space_group_name_H-M 'P 4/m m m'
_symmetry_Int_Tables_number 123
_symmetry_space_group_name_Hall '-P 4 2'
_cell_length_a 5.6644
_cell_length_b 5.6644
_cell_length_c 5.0694
_cell_angle_alpha 90.00
_cell_angle_beta 90.00
_cell_angle_gamma 90.00
loop_
_atom_site_label
_atom_site_fract_x
_atom_site_fract_y
_atom_site_fract_z
Al1 0.0000 0.0000 0.0000
Te1 0.5000 0.5000 0.0000
Ir1 0.5000 0.5000 0.5000
I1 0.0000 0.5000 0.5000
```

=====

No. 2
A geometry-optimized BeHgBr structure, computed with GGA-PBE.

Calculated values
The spin magnetization comes out at 0.000 μB per cell. The density comes out at 7.2 g/cm3. For the uncorrected formation energy, the calculation gives 0.317 eV per atom. The value obtained for the density of states at the Fermi level is 1.497 states/eV/cell.

```
data_BeHgBr
_symmetry_space_group_name_H-M 'I 4 m m'
_symmetry_Int_Tables_number 107
_symmetry_space_group_name_Hall 'I 4 -2'
_cell_length_a 3.2289
_cell_length_b 3.2289
_cell_length_c 12.8489
_cell_angle_alpha 90.00
_cell_angle_beta 90.00
_cell_angle_gamma 90.00
loop_
_atom_site_label
_atom_site_fract_x
_atom_site_fract_y
_atom_site_fract_z
Be1 0.0000 0.0000 0.0000
Hg1 0.0000 0.0000 0.3583
Br1 0.0000 0.0000 0.5999
```

=====

No. 3
A geometry-optimized Pm8Tm2Cd structure, computed with GGA-PBE.

Calculated values
The spin magnetization comes out at 0.000 μB per cell. As for the energy of formation: -13.3 meV per atom. The density comes out at 7.5 g/cm3. The value obtained for the density of states at the Fermi level is 30.537 states/eV/cell.

```
data_Pm8Tm2Cd
_symmetry_space_group_name_H-M 'C 1 2/m 1'
_symmetry_Int_Tables_number 12
_cell_length_a 11.3434
_cell_length_b 5.0702
_cell_length_c 12.7171
_cell_angle_alpha 90.00
_cell_angle_beta 104.32
_cell_angle_gamma 90.00
loop_
_symmetry_equiv_pos_as_xyz
'x,y,z'
'-x,-y,-z'
'-x,y,-z'
'x,-y,z'
'x+1/2,y+1/2,z'
'-x+1/2,-y+1/2,-z'
'-x+1/2,y+1/2,-z'
'x+1/2,-y+1/2,z'
loop_
_atom_site_label
_atom_site_fract_x
_atom_site_fract_y
_atom_site_fract_z
Pm1 0.0371 0.0000 0.3218
Pm2 0.0909 0.5000 0.1403
Pm3 0.1406 0.0000 0.9531
Pm4 0.2431 0.0000 0.5880
Tm1 0.1852 0.5000 0.7632
Cd1 0.0000 0.5000 0.5000
```

=====

No. 4
A geometry-optimized MgAl2Au structure, computed with GGA-PBE.

Calculated values
The spin magnetization comes out at 0.000 μB per cell. As for the energy of formation: -196.6 meV per atom. The density comes out at 6.4 g/cm3. The value obtained for the density of states at the Fermi level is 2.791 states/eV/cell.

```
data_MgAl2Au
_symmetry_space_group_name_H-M 'C 1 m 1'
_symmetry_Int_Tables_number 8
_cell_length_a 9.0358
_cell_length_b 3.2746
_cell_length_c 4.8871
_cell_angle_alpha 90.00
_cell_angle_beta 99.66
_cell_angle_gamma 90.00
loop_
_symmetry_equiv_pos_as_xyz
'x,y,z'
'x,-y,z'
'x+1/2,y+1/2,z'
'x+1/2,-y+1/2,z'
loop_
_atom_site_label
_atom_site_fract_x
_atom_site_fract_y
_atom_site_fract_z
Mg1 0.0000 0.0000 0.0000
Al1 0.2419 0.0000 0.7254
Al2 0.4935 0.0000 0.4952
Au1 0.2479 0.5000 0.2478
```